DFT (PBE) results for crystalline SmGd2Y at its relaxed geometry.

**Fermi-level density of states**: 6.39 states/eV/cell
**SG**: Fm-3m (225)
**M_tot**: 16.158 μB/cell
**E above lowest polymorph**: 73 meV per atom

Structure (POSCAR):
```
SmGd2Y
1.0
-4.569 -3.429 -0.233
-0.166 -4.288 -3.778
0.393 -5.412 1.800
Gd Sm Y
2 1 1
direct
0.750 0.750 0.750 Gd
0.250 0.250 0.250 Gd
0.000 0.000 0.000 Sm
0.500 0.500 0.500 Y
```